[1]
Computed, not measured: a PBEsol-optimized structure of KSi2Au at the SCAN level of DFT.

Unit cell a=4.736 b=4.736 c=4.736 alpha=60.00 beta=60.00 gamma=60.00
Fractional coordinates of all 4 atoms:
Si 0.750 0.750 0.750
Si 0.250 0.250 0.250
Au 0.000 0.000 0.000
K 0.500 0.500 0.500

E_form (uncorrected) (eV/atom): 0.6095
SG: Fm-3m, No. 225


[2]
Computed, not measured: a PBEsol-optimized structure of KSiAu at the SCAN level of DFT.

Unit cell a=4.152 b=4.152 c=5.299 alpha=90.00 beta=90.00 gamma=120.00
Fractional coordinates of all 3 atoms:
Si 0.667 0.333 0.500
Au 0.000 0.000 0.500
K 0.333 0.667 0.000

E_form (uncorrected) (eV/atom): -0.2435
SG: P-6m2, No. 187


[3]
Computed, not measured: a PBEsol-optimized structure of KSi2Au at the SCAN level of DFT.

Unit cell a=3.281 b=3.281 c=7.609 alpha=90.00 beta=90.00 gamma=90.00
Fractional coordinates of all 4 atoms:
Si 0.000 0.000 0.082
Si 0.500 0.500 0.240
Au 0.000 0.000 0.422
K 0.500 0.500 0.756

E_form (uncorrected) (eV/atom): 0.2198
SG: P4mm, No. 99


[4]
Computed, not measured: a PBEsol-optimized structure of KSiAu4 at the SCAN level of DFT.

Unit cell a=5.517 b=5.517 c=5.517 alpha=60.00 beta=60.00 gamma=60.00
Fractional coordinates of all 6 atoms:
K 0.750 0.750 0.750
Au 0.375 0.375 0.375
Au 0.375 0.375 0.876
Au 0.375 0.876 0.375
Au 0.876 0.375 0.375
Si 0.000 0.000 0.000

E_form (uncorrected) (eV/atom): 0.1491
SG: F-43m, No. 216


[5]
Computed, not measured: a PBEsol-optimized structure of KSi2Au at the SCAN level of DFT.

Unit cell a=3.987 b=4.201 c=6.739 alpha=106.14 beta=90.00 gamma=118.33
Fractional coordinates of all 4 atoms:
K 0.500 0.000 0.000
Si 0.284 0.569 0.373
Si 0.716 0.431 0.627
Au 0.000 0.000 0.500

E_form (uncorrected) (eV/atom): -0.1245
SG: C2/m, No. 12


[6]
Computed, not measured: a PBEsol-optimized structure of K3Sn4Au at the SCAN level of DFT.

Unit cell a=6.513 b=6.780 c=12.482 alpha=90.00 beta=90.00 gamma=90.00
Fractional coordinates of all 16 atoms:
Au 0.686 0.500 0.000
Au 0.314 0.000 0.500
Sn 0.037 0.267 0.000
Sn 0.963 0.233 0.500
Sn 0.667 0.000 0.624
Sn 0.037 0.733 0.000
Sn 0.963 0.767 0.500
Sn 0.333 0.500 0.876
Sn 0.333 0.500 0.124
Sn 0.667 0.000 0.376
K 0.829 0.500 0.746
K 0.555 0.000 0.000
K 0.171 0.000 0.246
K 0.171 0.000 0.754
K 0.829 0.500 0.254
K 0.445 0.500 0.500

Total energy (eV per atom): -30.147
SG: Pmmn, No. 59


Q: Which formula does entry 4 have?
A: KSiAu4


Q: Which formula does entry 4 have?
A: KSiAu4


Q: Which formula does entry 1 have?
A: KSi2Au